Entry from Alexandria via LeMat-Bulk: GaSN2O after structural relaxation (GGA-PBE).

a = 3.686 Å, b = 3.686 Å, c = 5.498 Å
α = 90.00°, β = 90.00°, γ = 90.00°
Space group P4/mmm (No. 123)
Asymmetric unit:
Ga (0.000, 0.000, 0.000)
S (0.000, 0.000, 0.500)
N (0.000, 0.500, 0.000)
O (0.500, 0.500, 0.500)

Values from the calculation:
VASP energy, eV per atom: -3.932
Crystal system: tetragonal
Raw formation energy, eV per atom: 1.8211
Calculated volume, Å³ per cell: 74.69


Entry from Alexandria via LeMat-Bulk: Pb2CBr2 after structural relaxation (GGA-PBE).

a = 8.728 Å, b = 8.728 Å, c = 3.845 Å
α = 90.00°, β = 90.00°, γ = 90.00°
Space group P4/mbm (No. 127)
Asymmetric unit:
Pb (0.187, 0.313, 0.000)
C (0.000, 0.000, 0.500)
Br (0.130, 0.630, 0.500)

Values from the calculation:
VASP energy, eV per atom: -2.940
Crystal system: tetragonal
Raw formation energy, eV per atom: 1.0573
Calculated volume, Å³ per cell: 292.96


Entry from Alexandria via LeMat-Bulk: VOsAu2 after structural relaxation (GGA-PBE).

a = 6.381 Å, b = 6.381 Å, c = 6.381 Å
α = 90.00°, β = 90.00°, γ = 90.00°
Space group Fm-3m (No. 225)
Asymmetric unit:
V (0.000, 0.000, 0.000)
Os (0.000, 0.000, 0.500)
Au (0.250, 0.250, 0.250)

Values from the calculation:
VASP energy, eV per atom: -6.224
Energy of formation, eV/atom: 0.502
Crystal system: cubic
Calculated volume, Å³ per cell: 259.87


Entry from Alexandria via LeMat-Bulk: Li2AgP after structural relaxation (GGA-PBE).

a = 3.829 Å, b = 4.091 Å, c = 7.618 Å
α = 90.00°, β = 90.00°, γ = 90.00°
Space group Cmmm (No. 65)
Asymmetric unit:
Li (0.000, 0.000, 0.222)
Ag (0.000, 0.500, 0.500)
P (0.000, 0.500, 0.000)

Values from the calculation:
VASP energy, eV per atom: -3.327
Energy of formation, eV/atom: -0.305
Crystal system: orthorhombic
Calculated volume, Å³ per cell: 119.32


Entry from Alexandria via LeMat-Bulk: Mn2AsW after structural relaxation (GGA-PBE).

a = 3.277 Å, b = 4.116 Å, c = 7.994 Å
α = 90.00°, β = 90.00°, γ = 90.00°
Space group Imm2 (No. 44)
Asymmetric unit:
Mn (0.000, 0.000, 0.000)
Mn (0.000, 0.500, 0.247)
As (0.000, 0.000, 0.517)
W (0.000, 0.500, 0.760)

Values from the calculation:
VASP energy, eV per atom: -8.854
Energy of formation, eV/atom: 0.131
Crystal system: orthorhombic
Calculated volume, Å³ per cell: 107.81


Entry from Alexandria via LeMat-Bulk: CsS2O6F2 after structural relaxation (GGA-PBE).

a = 14.187 Å, b = 7.890 Å, c = 9.931 Å
α = 90.00°, β = 131.24°, γ = 90.00°
Space group C2/c (No. 15)
Asymmetric unit:
Cs (0.000, 0.105, 0.250)
S (0.180, 0.336, 0.730)
O (0.085, 0.205, 0.650)
O (0.217, 0.177, 0.076)
O (0.224, 0.375, 0.637)
F (0.107, 0.494, 0.208)

Values from the calculation:
VASP energy, eV per atom: -5.390
Crystal system: monoclinic
Raw formation energy, eV per atom: -1.5169
Calculated volume, Å³ per cell: 835.97